No. 1
A relaxed structure of Ac4IrPbCl2. Source: Alexandria via LeMat-Bulk, functional PBE.

Computed properties:
The formation energy without anion corrections comes out at -1.101 eV/atom.

Cell: 4.518 7.924 8.280 Å, 70.71 90.00 90.00°
Atoms (fractional coordinates):
Ac 0.500 0.716 0.282
Ac 0.000 0.274 0.279
Ac 0.000 0.726 0.721
Ac 0.500 0.284 0.718
Pb 0.500 0.500 0.000
Cl 0.500 0.000 0.500
Cl 0.000 0.000 0.000
Ir 0.000 0.500 0.500



No. 2
A relaxed structure of Y3GeH2. Source: Alexandria via LeMat-Bulk, functional PBE.

Computed properties:
Its total energy is -34.16 eV/f.u.

Cell: 3.993 5.907 10.951 Å, 106.56 100.50 90.00°
Atoms (fractional coordinates):
Y 0.399 0.648 0.799
Y 0.229 0.226 0.458
Y 0.771 0.774 0.542
Y 0.601 0.352 0.201
Y 0.949 0.184 0.898
Y 0.051 0.816 0.102
Ge 0.651 0.906 0.302
Ge 0.349 0.094 0.698
H 0.056 0.208 0.113
H 0.944 0.792 0.887
H 0.291 0.594 0.582
H 0.709 0.406 0.418



No. 3
A relaxed structure of SmHo3Er4. Source: Alexandria via LeMat-Bulk, functional PBE.

Computed properties:
For the formation energy, the calculation gives 22 meV/atom. Its energy relative to the lowest polymorph listed for this composition is 14 kJ/mol of formula units.

Cell: 3.532 7.883 10.565 Å, 81.38 70.46 63.34°
Atoms (fractional coordinates):
Er 0.000 0.249 0.251
Er 0.000 0.751 0.749
Er 0.503 0.249 0.749
Er 0.497 0.751 0.251
Sm 0.500 0.500 0.000
Ho 0.000 0.500 0.500
Ho 0.500 0.000 0.500
Ho 0.000 0.000 0.000



No. 4
A relaxed structure of ZnH2Rh2. Source: Alexandria via LeMat-Bulk, functional PBE.

Computed properties:
Its energy relative to the lowest polymorph listed for this composition is 45 kJ/mol of formula units.

Cell: 2.896 2.896 5.868 Å, 90.00 90.00 90.00°
Atoms (fractional coordinates):
H 0.500 0.000 0.500
H 0.000 0.500 0.500
Rh 0.500 0.500 0.275
Rh 0.500 0.500 0.725
Zn 0.000 0.000 0.000



No. 5
A relaxed structure of HfZn2Au4. Source: Alexandria via LeMat-Bulk, functional PBE.

Computed properties:
For the formation energy, the calculation gives -268 meV/atom. Its energy relative to the lowest polymorph listed for this composition is 0 kJ/mol of formula units.

Cell: 4.553 4.553 7.559 Å, 72.47 72.47 60.00°
Atoms (fractional coordinates):
Au 0.395 0.395 0.814
Au 0.605 0.605 0.186
Au 0.132 0.132 0.604
Au 0.868 0.868 0.396
Zn 0.259 0.259 0.222
Zn 0.741 0.741 0.778
Hf 0.000 0.000 0.000



No. 6
A relaxed structure of TbGdPuZn. Source: Alexandria via LeMat-Bulk, functional PBE.

Computed properties:
For the formation energy, the calculation gives 115 meV/atom.

Cell: 5.311 5.311 5.311 Å, 60.00 60.00 60.00°
Site moments in Bohr magnetons follow the coordinates.
Atoms (fractional coordinates):
Gd 0.250 0.250 0.250  7.34
Pu 0.500 0.500 0.500  5.72
Tb 0.750 0.750 0.750  0.33
Zn 0.000 0.000 0.000  -0.04



No. 7
A relaxed structure of CePrYTl. Source: Alexandria via LeMat-Bulk, functional PBE.

Computed properties:
For the formation energy, the calculation gives 5 meV/atom.

Cell: 5.507 5.507 5.507 Å, 60.00 60.00 60.00°
Site moments in Bohr magnetons follow the coordinates.
Atoms (fractional coordinates):
Y 0.250 0.250 0.250  -0.01
Ce 0.000 0.000 0.000  0.34
Pr 0.750 0.750 0.750  -0.01
Tl 0.500 0.500 0.500  -0.01



No. 8
A relaxed structure of LaY2Sc. Source: Alexandria via LeMat-Bulk, functional PBE.

Computed properties:
For the formation energy, the calculation gives 61 meV/atom. Its energy relative to the lowest polymorph listed for this composition is 10 kJ/mol of formula units.

Cell: 6.055 6.055 6.055 Å, 130.41 130.41 72.76°
Atoms (fractional coordinates):
Y 0.250 0.750 0.500
Y 0.000 0.000 0.000
Sc 0.750 0.250 0.500
La 0.500 0.500 0.000



No. 9
A relaxed structure of TaTi5As4. Source: Alexandria via LeMat-Bulk, functional PBE.

Computed properties:
For the formation energy, the calculation gives -488 meV/atom.

Cell: 3.892 6.654 8.953 Å, 125.89 102.56 90.00°
Atoms (fractional coordinates):
Ta 0.500 0.000 0.000
Ti 0.176 0.356 0.352
Ti 0.824 0.644 0.648
Ti 0.849 0.173 0.699
Ti 0.151 0.827 0.301
Ti 0.500 0.500 0.000
As 0.027 0.308 0.054
As 0.692 0.143 0.385
As 0.308 0.857 0.615
As 0.973 0.692 0.946



No. 10
A relaxed structure of Pr2Sm2CuRh4. Source: Alexandria via LeMat-Bulk, functional PBE.

Computed properties:
For the formation energy, the calculation gives -361 meV/atom.

Cell: 6.407 6.407 6.407 Å, 99.02 114.93 114.93°
Atoms (fractional coordinates):
Cu 0.000 0.000 0.000
Pr 0.500 0.750 0.250
Pr 0.500 0.250 0.750
Rh 0.000 0.740 0.260
Rh 0.480 0.740 0.740
Rh 0.520 0.260 0.260
Rh 0.000 0.260 0.740
Sm 0.000 0.306 0.306
Sm 0.000 0.694 0.694



No. 11
A relaxed structure of RbTi3Be. Source: Alexandria via LeMat-Bulk, functional PBE.

Computed properties:
For the formation energy, the calculation gives 2325 meV/atom. Its energy relative to the lowest polymorph listed for this composition is 602 kJ/mol of formula units.

Cell: 4.663 4.663 4.663 Å, 90.00 90.00 90.00°
Site moments in Bohr magnetons follow the coordinates.
Atoms (fractional coordinates):
Be 0.500 0.500 0.500  -0.03
Ti 0.000 0.000 0.500  0.65
Ti 0.500 0.000 0.000  0.69
Ti 0.000 0.500 0.000  0.65
Rb 0.000 0.000 0.000  0.13



No. 12
A relaxed structure of PmDyU2P4. Source: Alexandria via LeMat-Bulk, functional PBE.

Computed properties:
For the formation energy, the calculation gives -1277 meV/atom.

Cell: 3.976 6.885 7.008 Å, 109.13 90.00 90.00°
Site moments in Bohr magnetons follow the coordinates.
Atoms (fractional coordinates):
P 0.500 0.249 0.258  -0.05
P 0.500 0.751 0.742  -0.05
P 0.000 0.242 0.739  -0.05
P 0.000 0.758 0.261  -0.05
Pm 0.500 0.500 0.000  0.03
Dy 0.000 0.000 0.000  0.02
U 0.000 0.500 0.500  2.12
U 0.500 0.000 0.500  2.01



Here are the calculated theoretical density numbers, same order: 8.180 4.664 8.807 9.222 14.318 9.809 8.077 4.775 6.606 8.892 3.899 8.313 (g/cm³).